# PBE with a Hubbard U KCoBr2F, relaxed
# Relative energy among the computed polymorphs = 186 meV/atom
# Energy = -3.5802 eV/atom
# Total moment = 0.600 μB/atom
data_KCoBr2F
_chemical_formula_sum 'K1 Co1 Br2 F1'
_cell_length_a 5.412
_cell_length_b 5.412
_cell_length_c 3.961
_cell_angle_alpha 90.00
_cell_angle_beta 90.00
_cell_angle_gamma 90.00
_space_group_name_H-M_alt 'P 1'
_space_group_IT_number 1
_space_group_name_Hall 'P 1'
loop_
_atom_site_label
_atom_site_fract_x
_atom_site_fract_y
_atom_site_fract_z
_atom_site_occupancy
K1 0.500 0.500 0.500 1
Co1 0.000 0.000 0.000 1
Br1 0.000 0.500 0.000 1
Br2 0.500 0.000 0.000 1
F1 0.000 0.000 0.500 1